## CdGe2IrO (PBE)

Data for a relaxed structure of CdGe2IrO.

Cell: 5.158 3.693 5.158 Å, 90.00 90.00 90.00°
Positions (direct):
1 Ge 0.000 0.000 0.500
2 Ge 0.500 0.000 0.000
3 Ir 0.000 0.000 0.000
4 O 0.000 0.500 0.000
5 Cd 0.500 0.500 0.500

Computed properties:
The calculation puts the formation energy from raw total energies at 0.05 eV per atom. The electronic total energy comes out at -4.748 eV/atom. As for the crystal system: tetragonal.



## AgP2Pd (PBE)

Data for a relaxed structure of AgP2Pd.

Cell: 4.467 4.467 4.467 Å, 60.00 60.00 60.00°
Positions (direct):
1 P 0.250 0.250 0.250
2 P 0.750 0.750 0.750
3 Pd 0.000 0.000 0.000
4 Ag 0.500 0.500 0.500

Computed properties:
The electronic total energy comes out at -4.505 eV/atom. As for the crystal system: cubic. The energy of formation from the pure elements comes out at 211 meV per atom.



## Ag2OsBr (PBE)

Data for a relaxed structure of Ag2OsBr.

Cell: 6.829 6.829 4.379 Å, 71.43 71.43 24.44°
Positions (direct):
1 Os 0.750 0.750 0.750
2 Br 0.250 0.250 0.250
3 Ag 0.053 0.053 0.947
4 Ag 0.447 0.447 0.553

Computed properties:
The calculation puts the formation energy from raw total energies at 0.89 eV per atom. The electronic total energy comes out at -3.763 eV/atom. As for the crystal system: monoclinic.



## Co3HRu (PBE)

Data for a relaxed structure of Co3HRu.

Cell: 3.635 3.635 3.635 Å, 90.00 90.00 90.00°
Positions (direct):
1 Ru 0.500 0.500 0.500
2 Co 0.000 0.500 0.000
3 Co 0.000 0.000 0.500
4 Co 0.500 0.000 0.000
5 H 0.000 0.000 0.000

Computed properties:
The electronic total energy comes out at -6.655 eV/atom. As for the crystal system: cubic.



## CuRe2Os (PBE)

Data for a relaxed structure of CuRe2Os.

Cell: 3.895 3.815 3.815 Å, 90.00 90.00 90.00°
Positions (direct):
1 Cu 0.500 0.500 0.000
2 Os 0.500 0.000 0.500
3 Re 0.000 0.000 0.000
4 Re 0.000 0.500 0.500

Computed properties:
The electronic total energy comes out at -9.700 eV/atom. As for the crystal system: tetragonal. The energy of formation from the pure elements comes out at 355 meV per atom.



## HfTa2Au (PBE)

Data for a relaxed structure of HfTa2Au.

Cell: 4.717 4.717 4.717 Å, 60.00 60.00 60.00°
Positions (direct):
1 Hf 0.000 0.000 0.000
2 Au 0.500 0.500 0.500
3 Ta 0.250 0.250 0.250
4 Ta 0.750 0.750 0.750

Computed properties:
The electronic total energy comes out at -9.040 eV/atom. As for the crystal system: cubic. The energy of formation from the pure elements comes out at 194 meV per atom.



## TlAgH2Pb (PBE)

Data for a relaxed structure of TlAgH2Pb.

Cell: 4.161 5.857 4.161 Å, 90.00 90.00 90.00°
Positions (direct):
1 Pb 0.500 0.500 0.500
2 H 0.000 0.000 0.500
3 H 0.500 0.000 0.000
4 Tl 0.000 0.500 0.000
5 Ag 0.000 0.000 0.000

Computed properties:
The electronic total energy comes out at -2.529 eV/atom. As for the crystal system: tetragonal.



## Pt2BrO2 (PBE)

Data for a relaxed structure of Pt2BrO2.

Cell: 4.179 4.179 5.950 Å, 69.44 69.44 90.00°
Positions (direct):
1 O 0.292 0.292 0.417
2 O 0.708 0.708 0.583
3 Br 0.000 0.000 0.000
4 Pt 0.750 0.250 0.500
5 Pt 0.250 0.750 0.500

Computed properties:
The calculation puts the formation energy from raw total energies at 0.46 eV per atom. The electronic total energy comes out at -4.277 eV/atom. As for the crystal system: tetragonal.



## SmMg3Cd3 (PBE)

Data for a relaxed structure of SmMg3Cd3.

Cell: 7.521 7.521 7.521 Å, 90.00 90.00 90.00°
Positions (direct):
1 Mg 0.250 0.000 0.500
2 Mg 0.000 0.500 0.250
3 Mg 0.500 0.750 0.000
4 Mg 0.750 0.000 0.500
5 Mg 0.000 0.500 0.750
6 Mg 0.500 0.250 0.000
7 Sm 0.500 0.500 0.500
8 Sm 0.000 0.000 0.000
9 Cd 0.000 0.250 0.500
10 Cd 0.000 0.750 0.500
11 Cd 0.500 0.000 0.750
12 Cd 0.750 0.500 0.000
13 Cd 0.500 0.000 0.250
14 Cd 0.250 0.500 0.000

Computed properties:
The electronic total energy comes out at -1.340 eV/atom. As for the crystal system: cubic. The energy of formation from the pure elements comes out at 410 meV per atom.



## SbTeCl2 (PBE)

Data for a relaxed structure of SbTeCl2.

Cell: 9.663 9.663 7.441 Å, 49.51 49.51 90.00°
Positions (direct):
1 Sb 0.500 0.500 0.000
2 Sb 0.250 0.750 0.500
3 Te 0.000 0.000 0.000
4 Te 0.750 0.250 0.500
5 Cl 0.488 0.125 0.250
6 Cl 0.262 0.625 0.250
7 Cl 0.375 0.512 0.750
8 Cl 0.875 0.738 0.750

Computed properties:
The calculation puts the formation energy from raw total energies at -0.15 eV per atom. The electronic total energy comes out at -2.885 eV/atom. As for the crystal system: tetragonal.



## Ho2ErTmN4 (PBE)

Data for a relaxed structure of Ho2ErTmN4.

Cell: 3.433 5.945 5.945 Å, 109.45 90.00 90.00°
Positions (direct):
1 Ho 0.500 0.000 0.500
2 Ho 0.000 0.500 0.500
3 Er 0.500 0.500 0.000
4 Tm 0.000 0.000 0.000
5 N 0.500 0.248 0.248
6 N 0.500 0.752 0.752
7 N 0.000 0.250 0.752
8 N 0.000 0.750 0.248

Computed properties:
The calculation puts the formation energy from raw total energies at -1.78 eV per atom. The electronic total energy comes out at -8.212 eV/atom. As for the crystal system: monoclinic.



## K2BeCu (PBE)

Data for a relaxed structure of K2BeCu.

Cell: 4.205 5.457 6.192 Å, 63.79 90.00 90.00°
Positions (direct):
1 Be 0.000 0.647 0.582
2 K 0.000 0.971 0.934
3 K 0.500 0.279 0.316
4 Cu 0.500 0.603 0.668

Computed properties:
The electronic total energy comes out at -2.035 eV/atom. As for the crystal system: monoclinic. The energy of formation from the pure elements comes out at 469 meV per atom.